Record 1
Material: Cd5Ni
Method: DFT, SCAN
State: PBEsol geometry

CIF file:
```
data_Cd5Ni
_chemical_formula_sum 'Cd5 Ni1'
_symmetry_space_group_name_H-M 'P 4/m m m'
_symmetry_Int_Tables_number 123
_symmetry_space_group_name_Hall '-P 4 2'
_cell_length_a 3.0934
_cell_length_b 3.0934
_cell_length_c 11.6312
_cell_angle_alpha 90.00
_cell_angle_beta 90.00
_cell_angle_gamma 90.00
loop_
_atom_site_label
_atom_site_type_symbol
_atom_site_fract_x
_atom_site_fract_y
_atom_site_fract_z
Cd1 Cd 0.0000 0.0000 0.0000
Cd2 Cd 0.0000 0.0000 0.3679
Cd3 Cd 0.5000 0.5000 0.1835
Ni1 Ni 0.5000 0.5000 0.5000
```

relative energy among the computed polymorphs = 0.0 meV per atom
M_tot = 0.00 μB per formula unit
density of states at the Fermi level = 0.29 states/eV per atom
E_tot = -167.9 eV for the cell shown
ρ = 9.3 g/cm³

***

Record 2
Material: Cd6Ni7
Method: DFT, SCAN
State: PBEsol geometry

CIF file:
```
data_Cd6Ni7
_chemical_formula_sum 'Cd18 Ni21'
_symmetry_space_group_name_H-M 'R -3 m'
_symmetry_Int_Tables_number 166
_symmetry_space_group_name_Hall '-R 3 2"'
_cell_length_a 4.9399
_cell_length_b 4.9399
_cell_length_c 26.3801
_cell_angle_alpha 90.00
_cell_angle_beta 90.00
_cell_angle_gamma 120.00
loop_
_atom_site_label
_atom_site_type_symbol
_atom_site_fract_x
_atom_site_fract_y
_atom_site_fract_z
Cd1 Cd 0.0000 0.0000 0.0521
Cd2 Cd 0.0000 0.0000 0.1553
Cd3 Cd 0.0000 0.0000 0.3337
Ni1 Ni 0.0000 0.0000 0.5000
Ni2 Ni 0.0003 0.5002 0.0912
```

M_tot = 2.70 μB per formula unit
density of states at the Fermi level = 0.61 states/eV per atom
E_tot = -883.6 eV for the cell shown
ρ = 9.7 g/cm³

***

Record 3
Material: Cd2Ni
Method: DFT, SCAN
State: PBEsol geometry

CIF file:
```
data_Cd2Ni
_chemical_formula_sum 'Cd8 Ni4'
_symmetry_space_group_name_H-M 'P n m a'
_symmetry_Int_Tables_number 62
_cell_length_a 5.4969
_cell_length_b 4.3443
_cell_length_c 8.1824
_cell_angle_alpha 90.00
_cell_angle_beta 90.00
_cell_angle_gamma 90.00
loop_
_symmetry_equiv_pos_as_xyz
'x,y,z'
'-x,-y,-z'
'-x+1/2,-y,z+1/2'
'x+1/2,y,-z+1/2'
'x+1/2,-y+1/2,-z+1/2'
'-x+1/2,y+1/2,z+1/2'
'-x,y+1/2,-z'
'x,-y+1/2,z'
loop_
_atom_site_label
_atom_site_type_symbol
_atom_site_fract_x
_atom_site_fract_y
_atom_site_fract_z
Cd1 Cd 0.0635 0.2500 0.2104
Cd2 Cd 0.1718 0.2500 0.5596
Ni1 Ni 0.1821 0.2500 0.8839
```

M_tot = 0.00 μB per formula unit
density of states at the Fermi level = 0.45 states/eV per atom
E_tot = -306.8 eV for the cell shown
ρ = 9.6 g/cm³

***

Record 4
Material: Cd5Ni
Method: DFT, SCAN
State: PBEsol geometry

CIF file:
```
data_Cd5Ni
_chemical_formula_sum 'Cd10 Ni2'
_symmetry_space_group_name_H-M 'A m m 2'
_symmetry_Int_Tables_number 38
_cell_length_a 4.6506
_cell_length_b 3.0926
_cell_length_c 15.4260
_cell_angle_alpha 90.00
_cell_angle_beta 90.00
_cell_angle_gamma 90.00
loop_
_symmetry_equiv_pos_as_xyz
'x,y,z'
'-x,-y,z'
'-x,y,z'
'x,-y,z'
'x,y+1/2,z+1/2'
'-x,-y+1/2,z+1/2'
'-x,y+1/2,z+1/2'
'x,-y+1/2,z+1/2'
loop_
_atom_site_label
_atom_site_type_symbol
_atom_site_fract_x
_atom_site_fract_y
_atom_site_fract_z
Cd1 Cd 0.0000 0.0000 0.0000
Cd2 Cd 0.0000 0.0000 0.3017
Cd3 Cd 0.5000 0.0000 0.1962
Cd4 Cd 0.5000 0.0000 0.5423
Cd5 Cd 0.5000 0.0000 0.8725
Ni1 Ni 0.0000 0.0000 0.6501
```

relative energy among the computed polymorphs = 24.2 meV per atom
M_tot = 0.00 μB per formula unit
density of states at the Fermi level = 0.43 states/eV per atom
E_tot = -335.5 eV for the cell shown
ρ = 9.3 g/cm³

***

Record 5
Material: Cd3Ni2
Method: DFT, SCAN
State: PBEsol geometry

CIF file:
```
data_Cd3Ni2
_chemical_formula_sum 'Cd3 Ni2'
_symmetry_space_group_name_H-M 'P -3 m 1'
_symmetry_Int_Tables_number 164
_symmetry_space_group_name_Hall '-P 3 2"'
_cell_length_a 4.3184
_cell_length_b 4.3184
_cell_length_c 5.2403
_cell_angle_alpha 90.00
_cell_angle_beta 90.00
_cell_angle_gamma 120.00
loop_
_atom_site_label
_atom_site_type_symbol
_atom_site_fract_x
_atom_site_fract_y
_atom_site_fract_z
Cd1 Cd 0.0000 0.0000 0.0000
Cd2 Cd 0.3333 0.6667 0.3590
Ni1 Ni 0.3333 0.6667 0.8671
```

M_tot = 0.00 μB per formula unit
density of states at the Fermi level = 0.57 states/eV per atom
E_tot = -123.1 eV for the cell shown
ρ = 8.9 g/cm³

***

Record 6
Material: Cd7Ni
Method: DFT, SCAN
State: PBEsol geometry

CIF file:
```
data_Cd7Ni
_chemical_formula_sum 'Cd28 Ni4'
_symmetry_space_group_name_H-M 'F m -3 m'
_symmetry_Int_Tables_number 225
_symmetry_space_group_name_Hall '-F 4 2 3'
_cell_length_a 8.4447
_cell_length_b 8.4447
_cell_length_c 8.4447
_cell_angle_alpha 90.00
_cell_angle_beta 90.00
_cell_angle_gamma 90.00
loop_
_atom_site_label
_atom_site_type_symbol
_atom_site_fract_x
_atom_site_fract_y
_atom_site_fract_z
Cd1 Cd 0.0000 0.0000 0.0000
Cd2 Cd 0.0000 0.2500 0.2500
Ni1 Ni 0.0000 0.0000 0.5000
```

M_tot = 0.00 μB per formula unit
density of states at the Fermi level = 0.39 states/eV per atom
E_tot = -912.9 eV for the cell shown
ρ = 9.3 g/cm³

***

Record 7
Material: Cd4Ni3
Method: DFT, SCAN
State: PBEsol geometry

CIF file:
```
data_Cd4Ni3
_chemical_formula_sum 'Cd8 Ni6'
_symmetry_space_group_name_H-M 'I 4/m m m'
_symmetry_Int_Tables_number 139
_symmetry_space_group_name_Hall '-I 4 2'
_cell_length_a 2.9629
_cell_length_b 2.9629
_cell_length_c 24.7585
_cell_angle_alpha 90.00
_cell_angle_beta 90.00
_cell_angle_gamma 90.00
loop_
_atom_site_label
_atom_site_type_symbol
_atom_site_fract_x
_atom_site_fract_y
_atom_site_fract_z
Cd1 Cd 0.0000 0.0000 0.0668
Cd2 Cd 0.0000 0.0000 0.3409
Ni1 Ni 0.0000 0.0000 0.2258
Ni2 Ni 0.0000 0.0000 0.5000
```

M_tot = 0.99 μB per formula unit
density of states at the Fermi level = 0.58 states/eV per atom
E_tot = -339.0 eV for the cell shown
ρ = 9.6 g/cm³

***

Record 8
Material: Cd2Ni
Method: DFT, SCAN
State: PBEsol geometry

CIF file:
```
data_Cd2Ni
_chemical_formula_sum 'Cd8 Ni4'
_symmetry_space_group_name_H-M 'C 1 2/m 1'
_symmetry_Int_Tables_number 12
_cell_length_a 9.7086
_cell_length_b 2.9284
_cell_length_c 7.6055
_cell_angle_alpha 90.00
_cell_angle_beta 113.19
_cell_angle_gamma 90.00
loop_
_symmetry_equiv_pos_as_xyz
'x,y,z'
'-x,-y,-z'
'-x,y,-z'
'x,-y,z'
'x+1/2,y+1/2,z'
'-x+1/2,-y+1/2,-z'
'-x+1/2,y+1/2,-z'
'x+1/2,-y+1/2,z'
loop_
_atom_site_label
_atom_site_type_symbol
_atom_site_fract_x
_atom_site_fract_y
_atom_site_fract_z
Cd1 Cd 0.0049 0.0000 0.1979
Cd2 Cd 0.1653 0.5000 0.6036
Ni1 Ni 0.1937 0.5000 0.0828
```

M_tot = 0.00 μB per formula unit
density of states at the Fermi level = 0.62 states/eV per atom
E_tot = -306.8 eV for the cell shown
ρ = 9.5 g/cm³

***

Record 9
Material: CdNi2
Method: DFT, SCAN
State: PBEsol geometry

CIF file:
```
data_CdNi2
_chemical_formula_sum 'Cd2 Ni4'
_symmetry_space_group_name_H-M 'I 4/m m m'
_symmetry_Int_Tables_number 139
_symmetry_space_group_name_Hall '-I 4 2'
_cell_length_a 2.7965
_cell_length_b 2.7965
_cell_length_c 10.0276
_cell_angle_alpha 90.00
_cell_angle_beta 90.00
_cell_angle_gamma 90.00
loop_
_atom_site_label
_atom_site_type_symbol
_atom_site_fract_x
_atom_site_fract_y
_atom_site_fract_z
Cd1 Cd 0.0000 0.0000 0.0000
Ni1 Ni 0.0000 0.0000 0.3164
```

M_tot = 0.95 μB per formula unit
density of states at the Fermi level = 0.82 states/eV per atom
E_tot = -124.6 eV for the cell shown
ρ = 9.7 g/cm³

***

Record 10
Material: Cd5Ni
Method: DFT, SCAN
State: PBEsol geometry

CIF file:
```
data_Cd5Ni
_chemical_formula_sum 'Cd5 Ni1'
_symmetry_space_group_name_H-M 'P -6 2 m'
_symmetry_Int_Tables_number 189
_symmetry_space_group_name_Hall 'P -6 -2'
_cell_length_a 5.2063
_cell_length_b 5.2063
_cell_length_c 4.6596
_cell_angle_alpha 90.00
_cell_angle_beta 90.00
_cell_angle_gamma 120.00
loop_
_atom_site_label
_atom_site_type_symbol
_atom_site_fract_x
_atom_site_fract_y
_atom_site_fract_z
Cd1 Cd 0.0000 0.6843 0.0000
Cd2 Cd 0.3333 0.6667 0.5000
Ni1 Ni 0.0000 0.0000 0.5000
```

relative energy among the computed polymorphs = 20.1 meV per atom
M_tot = 0.00 μB per formula unit
density of states at the Fermi level = 0.35 states/eV per atom
E_tot = -167.8 eV for the cell shown
ρ = 9.4 g/cm³

***

Record 11
Material: Cd5Ni
Method: DFT, SCAN
State: PBEsol geometry

CIF file:
```
data_Cd5Ni
_chemical_formula_sum 'Cd10 Ni2'
_symmetry_space_group_name_H-M 'C m m m'
_symmetry_Int_Tables_number 65
_symmetry_space_group_name_Hall '-C 2 2'
_cell_length_a 4.2005
_cell_length_b 12.4141
_cell_length_c 4.1917
_cell_angle_alpha 90.00
_cell_angle_beta 90.00
_cell_angle_gamma 90.00
loop_
_atom_site_label
_atom_site_type_symbol
_atom_site_fract_x
_atom_site_fract_y
_atom_site_fract_z
Cd1 Cd 0.0000 0.0000 0.0000
Cd2 Cd 0.0000 0.1589 0.5000
Cd3 Cd 0.0000 0.3418 0.0000
Ni1 Ni 0.0000 0.5000 0.5000
```

relative energy among the computed polymorphs = 27.5 meV per atom
M_tot = 0.00 μB per formula unit
density of states at the Fermi level = 0.31 states/eV per atom
E_tot = -335.5 eV for the cell shown
ρ = 9.4 g/cm³

***

Record 12
Material: Cd2Ni
Method: DFT, SCAN
State: PBEsol geometry

CIF file:
```
data_Cd2Ni
_chemical_formula_sum 'Cd8 Ni4'
_symmetry_space_group_name_H-M 'I 41/a m d'
_symmetry_Int_Tables_number 141
_cell_length_a 2.9061
_cell_length_b 2.9061
_cell_length_c 24.2730
_cell_angle_alpha 90.00
_cell_angle_beta 90.00
_cell_angle_gamma 90.00
loop_
_symmetry_equiv_pos_as_xyz
'x,y,z'
'-x,-y,-z'
'-y+1/4,x+3/4,z+1/4'
'y+1/4,-x+3/4,-z+1/4'
'-x+1/2,-y,z+1/2'
'x+1/2,y,-z+1/2'
'y+1/4,-x+1/4,z+3/4'
'-y+1/4,x+1/4,-z+3/4'
'x,-y,-z'
'-x,y,z'
'-y+1/4,-x+1/4,-z+3/4'
'y+1/4,x+1/4,z+3/4'
'-x+1/2,y,-z+1/2'
'x+1/2,-y,z+1/2'
'y+1/4,x+3/4,-z+1/4'
'-y+1/4,-x+3/4,z+1/4'
'x+1/2,y+1/2,z+1/2'
'-x+1/2,-y+1/2,-z+1/2'
'-y+3/4,x+1/4,z+3/4'
'y+3/4,-x+1/4,-z+3/4'
'-x,-y+1/2,z'
'x,y+1/2,-z'
'y+3/4,-x+3/4,z+1/4'
'-y+3/4,x+3/4,-z+1/4'
'x+1/2,-y+1/2,-z+1/2'
'-x+1/2,y+1/2,z+1/2'
'-y+3/4,-x+3/4,-z+1/4'
'y+3/4,x+3/4,z+1/4'
'-x,y+1/2,-z'
'x,-y+1/2,z'
'y+3/4,x+1/4,-z+3/4'
'-y+3/4,-x+1/4,z+3/4'
loop_
_atom_site_label
_atom_site_type_symbol
_atom_site_fract_x
_atom_site_fract_y
_atom_site_fract_z
Cd1 Cd 0.0000 0.2500 0.3040
Ni1 Ni 0.0000 0.2500 0.8750
```

M_tot = 0.00 μB per formula unit
density of states at the Fermi level = 0.45 states/eV per atom
E_tot = -306.8 eV for the cell shown
ρ = 9.2 g/cm³